ErMnFe at its PBEsol-relaxed geometry. Source: the Alexandria database, functional meta-GGA SCAN.

energy	-346.53	eV/cell
energy of formation	0.09	eV per formula unit

Unit cell a=4.792 b=5.066 c=7.208 alpha=90.00 beta=90.00 gamma=90.00
Space group Imma (No. 74)
One atom of each set of equivalent atoms:
Er 0.000 0.250 0.123
Mn 0.250 0.250 0.750
Fe 0.000 0.000 0.500

ErMnFeO4 at its PBEsol-relaxed geometry. Source: the Alexandria database, functional meta-GGA SCAN.

energy	-388.72	eV/cell
raw formation energy	-247	kJ per mole of atoms

Unit cell a=3.4854 b=3.4854 c=23.8906 alpha=90.00 beta=90.00 gamma=120.00
Space group R3m (No. 160, hexagonal axes)
One atom of each set of equivalent atoms:
Er 0.0000 0.0000 0.0000
Mn 0.0000 0.0000 0.7859
Fe 0.0000 0.0000 0.2101
O 0.0000 0.0000 0.1199
O 0.0000 0.0000 0.2915
O 0.0000 0.0000 0.7077
O 0.0000 0.0000 0.8673

ErFeNi4 at its PBEsol-relaxed geometry. Source: the Alexandria database, functional meta-GGA SCAN.

energy	-134.87	eV/cell
energy of formation	-1.70	eV per formula unit

Unit cell a=4.8271 b=4.8271 c=3.8796 alpha=90.00 beta=90.00 gamma=120.00
Space group P-6m2 (No. 187)
One atom of each set of equivalent atoms:
Er 0.0000 0.0000 0.0000
Fe 0.3333 0.6667 0.0000
Ni 0.5003 0.0006 0.5000
Ni 0.6667 0.3333 0.0000

ErFeO3 at its PBEsol-relaxed geometry. Source: the Alexandria database, functional meta-GGA SCAN.

energy	-404.58	eV/cell
raw formation energy	-270	kJ per mole of atoms

Unit cell a=5.480 b=7.236 c=5.000 alpha=90.00 beta=90.00 gamma=90.00
Space group Pnma (No. 62)
One atom of each set of equivalent atoms:
Er 0.080 0.250 0.026
Fe 0.000 0.000 0.500
O 0.031 0.750 0.395
O 0.196 0.551 0.814

Er2FeSi2 at its PBEsol-relaxed geometry. Source: the Alexandria database, functional meta-GGA SCAN.

energy	-568.93	eV/cell
raw formation energy	-65	kJ per mole of atoms

Unit cell a=10.244 b=4.071 c=9.767 alpha=90.00 beta=119.32 gamma=90.00
Space group C2/m (No. 12)
One atom of each set of equivalent atoms:
Er 0.002 0.000 0.172
Er 0.189 0.000 0.608
Fe 0.229 0.500 0.876
Si 0.000 0.500 0.372
Si 0.153 0.500 0.064

ErFe10Si2 at its PBEsol-relaxed geometry. Source: the Alexandria database, functional meta-GGA SCAN.

energy	-509.65	eV/cell
raw formation energy	-23	kJ per mole of atoms

Unit cell a=4.634 b=8.136 c=8.191 alpha=90.00 beta=90.00 gamma=90.00
Space group Immm (No. 71)
One atom of each set of equivalent atoms:
Er 0.000 0.000 0.000
Fe 0.000 0.000 0.362
Fe 0.000 0.289 0.500
Fe 0.000 0.355 0.000
Fe 0.250 0.250 0.250
Si 0.000 0.500 0.266

Er3Fe2Si3 at its PBEsol-relaxed geometry. Source: the Alexandria database, functional meta-GGA SCAN.

energy	-889.28	eV/cell
raw formation energy	-60	kJ per mole of atoms

Unit cell a=4.018 b=10.251 c=13.312 alpha=90.00 beta=90.00 gamma=90.00
Space group Cmcm (No. 63)
One atom of each set of equivalent atoms:
Er 0.000 0.081 0.112
Er 0.000 0.366 0.250
Fe 0.000 0.215 0.581
Si 0.000 0.323 0.750
Si 0.000 0.377 0.040

Er2Fe3Si5 at its PBEsol-relaxed geometry. Source: the Alexandria database, functional meta-GGA SCAN.

energy	-845.38	eV/cell
raw formation energy	-60	kJ per mole of atoms

Unit cell a=10.212 b=10.212 c=5.369 alpha=90.00 beta=90.00 gamma=90.00
Space group P4/mnc (No. 128)
One atom of each set of equivalent atoms:
Er 0.069 0.236 0.000
Fe 0.000 0.500 0.250
Fe 0.123 0.856 0.500
Si 0.000 0.000 0.263
Si 0.023 0.319 0.500
Si 0.178 0.678 0.250

Er2Fe14Si3 at its PBEsol-relaxed geometry. Source: the Alexandria database, functional meta-GGA SCAN.

energy	-778.27	eV/cell
raw formation energy	-23	kJ per mole of atoms

Unit cell a=8.1354 b=8.1354 c=8.0666 alpha=90.00 beta=90.00 gamma=120.00
Space group P6_3/mmc (No. 194)
One atom of each set of equivalent atoms:
Er 0.0000 0.0000 0.2500
Er 0.3333 0.6667 0.2500
Fe 0.0322 0.3608 0.7500
Fe 0.1662 0.3323 0.0152
Fe 0.3333 0.6667 0.6098
Si 0.0000 0.5000 0.0000

ErGa3 at its PBEsol-relaxed geometry. Source: the Alexandria database, functional meta-GGA SCAN.

energy	-203.64	eV/cell
energy of formation	-2.44	eV per formula unit

Unit cell a=6.1133 b=6.1133 c=4.4764 alpha=90.00 beta=90.00 gamma=120.00
Space group P6_3/mmc (No. 194)
One atom of each set of equivalent atoms:
Er 0.3333 0.6667 0.2500
Ga 0.1496 0.2992 0.7500

Er5Ga3 at its PBEsol-relaxed geometry. Source: the Alexandria database, functional meta-GGA SCAN.

energy	-610.31	eV/cell
energy of formation	-4.42	eV per formula unit

Unit cell a=8.3949 b=8.3949 c=6.3246 alpha=90.00 beta=90.00 gamma=120.00
Space group P6_3/mcm (No. 193)
One atom of each set of equivalent atoms:
Er 0.0000 0.2432 0.2500
Er 0.3333 0.6667 0.0000
Ga 0.0000 0.4009 0.7500

ErGa3 at its PBEsol-relaxed geometry. Source: the Alexandria database, functional meta-GGA SCAN.

energy	-101.76	eV/cell
energy of formation	-2.38	eV per formula unit

Unit cell a=4.171 b=4.171 c=4.171 alpha=90.00 beta=90.00 gamma=90.00
Space group Pm-3m (No. 221)
One atom of each set of equivalent atoms:
Er 0.000 0.000 0.000
Ga 0.000 0.500 0.500